Compound: KTbAg2F8
Source: Alexandria
Functional: PBE-GGA
Structure: optimized geometry

Structure (CIF):
```
data_KTbAg2F8
_chemical_formula_sum 'K2 Tb2 Ag4 F16'
_symmetry_space_group_name_H-M 'I -4'
_symmetry_Int_Tables_number 82
_symmetry_space_group_name_Hall 'I -4'
_cell_length_a 6.003
_cell_length_b 6.003
_cell_length_c 10.424
_cell_angle_alpha 90.00
_cell_angle_beta 90.00
_cell_angle_gamma 90.00
loop_
_atom_site_label
_atom_site_type_symbol
_atom_site_fract_x
_atom_site_fract_y
_atom_site_fract_z
K1 K 0.000 0.000 0.000
Tb1 Tb 0.000 0.500 0.250
Ag1 Ag 0.000 0.000 0.500
Ag2 Ag 0.000 0.500 0.750
F1 F 0.113 0.320 0.439
F2 F 0.196 0.785 0.796
```

- Magnetization: 4.070 μB per cell
- Crystal system: tetragonal
- E_form (uncorrected): -28.288 eV/f.u.
- VASP energy: -4.557 eV/atom

***

Compound: KTcAg2F8
Source: Alexandria
Functional: PBE-GGA
Structure: optimized geometry

Structure (CIF):
```
data_KTcAg2F8
_chemical_formula_sum 'K1 Tc1 Ag2 F8'
_symmetry_space_group_name_H-M 'P -3 m 1'
_symmetry_Int_Tables_number 164
_symmetry_space_group_name_Hall '-P 3 2"'
_cell_length_a 5.4269
_cell_length_b 5.4269
_cell_length_c 8.2933
_cell_angle_alpha 90.00
_cell_angle_beta 90.00
_cell_angle_gamma 120.00
loop_
_atom_site_label
_atom_site_type_symbol
_atom_site_fract_x
_atom_site_fract_y
_atom_site_fract_z
K1 K 0.0000 0.0000 0.0000
Tc1 Tc 0.0000 0.0000 0.5000
Ag1 Ag 0.3333 0.6667 0.3024
F1 F 0.1646 0.3292 0.6397
F2 F 0.3333 0.6667 0.0518
```

- Magnetization: 1.980 μB per cell
- Crystal system: trigonal
- E_form (uncorrected): -20.552 eV/f.u.
- VASP energy: -4.391 eV/atom

***

Compound: KAg2TeF
Source: Alexandria
Functional: PBE-GGA
Structure: optimized geometry

Structure (CIF):
```
data_KAg2TeF
_chemical_formula_sum 'K1 Ag2 Te1 F1'
_symmetry_space_group_name_H-M 'P 4/m m m'
_symmetry_Int_Tables_number 123
_symmetry_space_group_name_Hall '-P 4 2'
_cell_length_a 5.637
_cell_length_b 5.637
_cell_length_c 4.390
_cell_angle_alpha 90.00
_cell_angle_beta 90.00
_cell_angle_gamma 90.00
loop_
_atom_site_label
_atom_site_type_symbol
_atom_site_fract_x
_atom_site_fract_y
_atom_site_fract_z
K1 K 0.000 0.000 0.000
Ag1 Ag 0.000 0.500 0.000
Te1 Te 0.500 0.500 0.500
F1 F 0.000 0.000 0.500
```

- Magnetization: 0.000 μB per cell
- Crystal system: tetragonal
- E_form (uncorrected): -0.570 eV/f.u.
- VASP energy: -2.477 eV/atom

***

Compound: KAg2TeF8
Source: Alexandria
Functional: PBE-GGA
Structure: optimized geometry

Structure (CIF):
```
data_KAg2TeF8
_chemical_formula_sum 'K1 Ag2 Te1 F8'
_symmetry_space_group_name_H-M 'P -1'
_symmetry_Int_Tables_number 2
_symmetry_space_group_name_Hall '-P 1'
_cell_length_a 4.864
_cell_length_b 5.619
_cell_length_c 7.811
_cell_angle_alpha 94.59
_cell_angle_beta 91.24
_cell_angle_gamma 91.68
loop_
_atom_site_label
_atom_site_type_symbol
_atom_site_fract_x
_atom_site_fract_y
_atom_site_fract_z
K1 K 0.000 0.000 0.000
Ag1 Ag 0.459 0.486 0.769
Te1 Te 0.000 0.000 0.500
F1 F 0.145 0.790 0.294
F2 F 0.160 0.787 0.680
F3 F 0.337 0.242 0.525
F4 F 0.448 0.268 0.007
```

- Magnetization: 0.786 μB per cell
- Crystal system: triclinic
- E_form (uncorrected): -21.551 eV/f.u.
- VASP energy: -3.872 eV/atom

***

Compound: KAgTeF6
Source: Alexandria
Functional: PBE-GGA
Structure: optimized geometry

Structure (CIF):
```
data_KAgTeF6
_chemical_formula_sum 'K1 Ag1 Te1 F6'
_symmetry_space_group_name_H-M 'P 1'
_symmetry_Int_Tables_number 1
_symmetry_space_group_name_Hall 'P 1'
_cell_length_a 4.370
_cell_length_b 6.367
_cell_length_c 6.377
_cell_angle_alpha 119.92
_cell_angle_beta 90.08
_cell_angle_gamma 90.11
loop_
_atom_site_label
_atom_site_type_symbol
_atom_site_fract_x
_atom_site_fract_y
_atom_site_fract_z
K1 K 0.000 0.000 0.000
Ag1 Ag 0.503 0.334 0.667
Te1 Te 0.598 0.667 0.334
F1 F 0.462 0.315 0.291
F2 F 0.464 0.710 0.025
F3 F 0.466 0.976 0.687
F4 F 0.891 0.453 0.081
F5 F 0.892 0.627 0.548
F6 F 0.892 0.922 0.374
```

- Magnetization: 0.000 μB per cell
- Crystal system: triclinic
- E_form (uncorrected): -18.698 eV/f.u.
- VASP energy: -4.113 eV/atom

***

Compound: KTiAg2F6
Source: Alexandria
Functional: PBE-GGA
Structure: optimized geometry

Structure (CIF):
```
data_KTiAg2F6
_chemical_formula_sum 'K2 Ti2 Ag4 F12'
_symmetry_space_group_name_H-M 'P 1 21/c 1'
_symmetry_Int_Tables_number 14
_symmetry_space_group_name_Hall '-P 2ybc'
_cell_length_a 6.107
_cell_length_b 6.219
_cell_length_c 10.628
_cell_angle_alpha 90.00
_cell_angle_beta 124.65
_cell_angle_gamma 90.00
loop_
_atom_site_label
_atom_site_type_symbol
_atom_site_fract_x
_atom_site_fract_y
_atom_site_fract_z
K1 K 0.000 0.000 0.000
Ti1 Ti 0.500 0.000 0.500
Ag1 Ag 0.239 0.033 0.737
F1 F 0.183 0.143 0.466
F2 F 0.290 0.740 0.421
F3 F 0.393 0.087 0.293
```

- Magnetization: 1.359 μB per cell
- Crystal system: monoclinic
- E_form (uncorrected): -23.076 eV/f.u.
- VASP energy: -4.900 eV/atom

***

Compound: KTiAg2F8
Source: Alexandria
Functional: PBE-GGA
Structure: optimized geometry

Structure (CIF):
```
data_KTiAg2F8
_chemical_formula_sum 'K1 Ti1 Ag2 F8'
_symmetry_space_group_name_H-M 'P -3 m 1'
_symmetry_Int_Tables_number 164
_symmetry_space_group_name_Hall '-P 3 2"'
_cell_length_a 5.5593
_cell_length_b 5.5593
_cell_length_c 7.5497
_cell_angle_alpha 90.00
_cell_angle_beta 90.00
_cell_angle_gamma 120.00
loop_
_atom_site_label
_atom_site_type_symbol
_atom_site_fract_x
_atom_site_fract_y
_atom_site_fract_z
K1 K 0.0000 0.0000 0.0000
Ti1 Ti 0.0000 0.0000 0.5000
Ag1 Ag 0.3333 0.6667 0.3626
F1 F 0.1608 0.3215 0.6433
F2 F 0.3333 0.6667 0.0905
```

- Magnetization: 1.013 μB per cell
- Crystal system: trigonal
- E_form (uncorrected): -26.757 eV/f.u.
- VASP energy: -4.702 eV/atom

***

Compound: K2TlAgF4
Source: Alexandria
Functional: PBE-GGA
Structure: optimized geometry

Structure (CIF):
```
data_K2TlAgF4
_chemical_formula_sum 'K8 Tl4 Ag4 F16'
_symmetry_space_group_name_H-M 'C m c m'
_symmetry_Int_Tables_number 63
_symmetry_space_group_name_Hall '-C 2c 2'
_cell_length_a 3.864
_cell_length_b 12.787
_cell_length_c 13.414
_cell_angle_alpha 90.00
_cell_angle_beta 90.00
_cell_angle_gamma 90.00
loop_
_atom_site_label
_atom_site_type_symbol
_atom_site_fract_x
_atom_site_fract_y
_atom_site_fract_z
K1 K 0.000 0.128 0.039
Tl1 Tl 0.000 0.363 0.250
Ag1 Ag 0.000 0.372 0.750
F1 F 0.000 0.030 0.250
F2 F 0.000 0.243 0.624
F3 F 0.000 0.500 0.000
```

- Magnetization: 0.000 μB per cell
- Crystal system: orthorhombic
- E_form (uncorrected): -16.045 eV/f.u.
- VASP energy: -3.868 eV/atom